No. 1
The following is a GGA-PBE calculation of a geometry-optimized CsInNi structure, from OQMD via LeMat-Bulk.

Geometry as POSCAR:
```
CsInNi
1.0
-4.361 -2.735 -0.363
-3.903 0.925 3.247
-4.316 2.242 -1.726
Cs In Ni
1 1 1
direct
0.250 0.250 0.250
0.750 0.750 0.750
0.000 0.000 0.000
```

For the polymorph energy (0 for the lowest one), the calculation gives 0 meV per atom. As for the total energy: -7.27 eV per formula unit.

---

No. 2
The following is a GGA-PBE calculation of a geometry-optimized DyInSiPt2 structure, from OQMD via LeMat-Bulk.

Geometry as POSCAR:
```
DyInSiPt2
1.0
-1.644 -1.374 3.644
-0.646 -3.804 -1.726
9.879 -3.159 3.266
Dy In Pt Si
2 2 4 2
direct
0.000 0.500 0.233
0.500 0.000 0.767
0.000 0.000 0.500
0.500 0.500 0.500
0.000 0.000 0.000
0.500 0.500 0.000
0.500 0.000 0.331
0.000 0.500 0.669
0.500 0.000 0.118
0.000 0.500 0.882
```

As for the total energy: -29.65 eV per formula unit.